First-principles (PBE) data for a relaxed NdEuDyLu crystal, as listed in Alexandria.

Lattice parameters (Å, degrees): 5.7633 5.7633 5.7633 60.00 60.00 60.00
Closest atoms and distances in Å follow each position.
Sites, in units of the cell vectors:
Lu  0.7500  0.7500  0.7500  4 Nd 3.53, 4 Dy 3.53
Eu  0.2500  0.2500  0.2500  4 Dy 3.53, 4 Nd 3.53
Dy  0.5000  0.5000  0.5000  4 Eu 3.53, 4 Lu 3.53
Nd  0.0000  0.0000  0.0000  4 Lu 3.53, 4 Eu 3.53

For the calculated total energy, the calculation gives -23.6 eV per cell. As for the space group: F-43m (216). Its total magnetization is 7.67 μB/cell. The energy of formation from the pure elements comes out at 0.15 eV per atom.

---

First-principles (PBE) data for a relaxed PuNb2Co crystal, as listed in Alexandria.

Lattice parameters (Å, degrees): 2.8752 2.8752 10.2766 81.96 81.96 60.00
Closest atoms and distances in Å follow each position.
Sites, in units of the cell vectors:
Nb  0.0976  0.0976  0.7072  3 Co 2.68, 6 Nb 2.88, 1 Pu 2.97
Nb  0.9024  0.9024  0.2928  3 Co 2.68, 6 Nb 2.88, 1 Pu 2.97
Co  0.5000  0.5000  0.5000  6 Nb 2.68, 6 Co 2.88
Pu  0.0000  0.0000  0.0000  6 Pu 2.88, 2 Nb 2.97

For the calculated total energy, the calculation gives -39.7 eV per cell. As for the space group: R-3m (166). Its total magnetization is 5.80 μB/cell. The energy of formation from the pure elements comes out at 0.48 eV per atom.

---

First-principles (PBE) data for a relaxed InFe2Ir crystal, as listed in Alexandria.

Lattice parameters (Å, degrees): 6.1558 4.7089 2.8174 90.07 62.64 121.07
Closest atoms and distances in Å follow each position.
Sites, in units of the cell vectors:
In  0.0000  0.5000  0.5000  2 Ir 2.73, 8 Fe 2.74-2.75, 2 In 2.82
Fe  0.0000  0.0000  0.0000  4 Fe 2.73-2.82, 4 Ir 2.74-2.75, 4 In 2.74-2.75
Fe  0.5000  0.0000  0.5000  4 Fe 2.73-2.82, 4 In 2.74-2.75, 4 Ir 2.74-2.75
Ir  0.5000  0.5000  0.0000  2 In 2.73, 8 Fe 2.74-2.75, 2 Ir 2.82

For the calculated total energy, the calculation gives -27.8 eV per cell. As for the space group: Cmmm (65). Its total magnetization is 5.54 μB/cell. The energy of formation from the pure elements comes out at 0.17 eV per atom.

---

First-principles (PBE) data for a relaxed ZnHg2Sb crystal, as listed in Alexandria.

Lattice parameters (Å, degrees): 6.0276 6.0276 6.0276 147.42 125.44 65.01
Closest atoms and distances in Å follow each position.
Sites, in units of the cell vectors:
Hg  0.0244  0.0244  0.0000  2 Zn 2.85
Hg  0.4756  0.4756  0.0000  2 Zn 2.85
Sb  0.7500  0.2500  0.5000  4 Zn 3.24, 8 Hg 3.26-3.59, 2 Sb 3.38
Zn  0.2500  0.7500  0.5000  4 Hg 2.85

For the calculated total energy, the calculation gives -5.3 eV per cell. As for the space group: Immm (71). Its total magnetization is 0.00 μB/cell. The value obtained for the formation energy (no corrections) is 0.18 eV per atom.

---

First-principles (PBE) data for a relaxed Pr4SnPbO crystal, as listed in Alexandria.

Lattice parameters (Å, degrees): 6.7306 6.7437 9.6054 90.00 110.51 90.00
Closest atoms and distances in Å follow each position.
Sites, in units of the cell vectors:
Sn  0.3868  0.2500  0.7736  9 Pr 3.24-3.47
Sn  0.6132  0.7500  0.2264  9 Pr 3.24-3.47
Pr  0.5670  0.2500  0.1341  3 Sn 3.24-3.47, 2 Pb 3.45
Pr  0.5000  0.0000  0.5000  2 O 2.46
Pr  0.9199  0.2500  0.8399  1 O 2.46
Pr  0.0000  0.5000  0.5000  2 O 2.46
Pr  0.0801  0.7500  0.1601  1 O 2.46
Pr  0.0000  0.0000  0.5000  2 O 2.46
Pr  0.5000  0.5000  0.5000  2 O 2.46
Pr  0.4330  0.7500  0.8659  3 Sn 3.24-3.47, 2 Pb 3.45
Pb  0.1090  0.2500  0.2180  9 Pr 3.40-3.48
Pb  0.8910  0.7500  0.7820  9 Pr 3.40-3.48
O  0.2166  0.7500  0.4332  5 Pr 2.46
O  0.7834  0.2500  0.5668  5 Pr 2.46

For the calculated total energy, the calculation gives -80.4 eV per cell. As for the space group: Cmcm (63). Its total magnetization is 1.18 μB/cell. The value obtained for the formation energy (no corrections) is -1.20 eV per atom.

---

First-principles (PBE) data for a relaxed Li3SnPd6 crystal, as listed in Alexandria.

Lattice parameters (Å, degrees): 6.9957 6.9957 6.9957 100.11 100.11 100.11
Closest atoms and distances in Å follow each position.
Sites, in units of the cell vectors:
Li  0.4365  0.1459  0.1464  4 Pd 2.58-2.82
Li  0.1459  0.1464  0.4365  4 Pd 2.58-2.82
Li  0.1464  0.4365  0.1459  4 Pd 2.58-2.82
Li  0.8541  0.8536  0.5635  4 Pd 2.58-2.82
Li  0.5635  0.8541  0.8536  4 Pd 2.58-2.82
Li  0.8536  0.5635  0.8541  4 Pd 2.58-2.82
Sn  0.5000  0.5000  0.5000  6 Pd 2.65
Sn  0.0000  0.0000  0.0000  6 Pd 2.79, 6 Li 2.98
Pd  0.1748  0.5965  0.5964  7 Pd 2.58-2.88, 1 Sn 2.65
Pd  0.0000  0.7397  0.2601  4 Li 2.58-2.82, 6 Pd 2.75-2.88, 1 Sn 2.79
Pd  0.4035  0.4036  0.8252  7 Pd 2.58-2.88, 1 Sn 2.65
Pd  0.4036  0.8252  0.4035  7 Pd 2.58-2.88, 1 Sn 2.65
Pd  0.2603  0.7399  0.0000  4 Li 2.58-2.82, 6 Pd 2.75-2.88, 1 Sn 2.79
Pd  0.8252  0.4035  0.4036  7 Pd 2.58-2.88, 1 Sn 2.65
Pd  0.5964  0.1748  0.5965  7 Pd 2.58-2.88, 1 Sn 2.65
Pd  0.2601  0.0000  0.7397  4 Li 2.58-2.82, 6 Pd 2.75-2.88, 1 Sn 2.79
Pd  0.0000  0.2603  0.7399  4 Li 2.58-2.82, 6 Pd 2.75-2.88, 1 Sn 2.79
Pd  0.7397  0.2601  0.0000  4 Li 2.58-2.82, 6 Pd 2.75-2.88, 1 Sn 2.79
Pd  0.5965  0.5964  0.1748  7 Pd 2.58-2.88, 1 Sn 2.65
Pd  0.7399  0.0000  0.2603  4 Li 2.58-2.82, 6 Pd 2.75-2.88, 1 Sn 2.79

For the calculated total energy, the calculation gives -88.3 eV per cell. As for the space group: R-3m (166). Its total magnetization is 0.00 μB/cell. The energy of formation from the pure elements comes out at -0.33 eV per atom.